No. 1
{"formula": "LiCrCd2", "functional": "PBE-GGA", "state": "relaxed", "space_group": "I-4m2", "lattice_angstrom": [[4.1459, 0.0000, 0.0000], [0.0000, 4.1459, 0.0000], [0.0000, 0.0000, 8.7625]], "species": ["Li", "Li", "Cr", "Cr", "Cd", "Cd", "Cd", "Cd"], "fractional_positions": [[0.0000, 0.0000, 0.0000], [0.5000, 0.5000, 0.5000], [0.0000, 0.5000, 0.2500], [0.5000, 0.0000, 0.7500], [0.0000, 0.0000, 0.5000], [0.0000, 0.5000, 0.7500], [0.5000, 0.0000, 0.2500], [0.5000, 0.5000, 0.0000]]}

=====

No. 2
{"formula": "LiCr2Cd", "functional": "PBE-GGA", "state": "relaxed", "space_group": "I-42d", "lattice_angstrom": [[3.4201, 0.0000, 0.0000], [0.0000, 3.4201, 0.0000], [0.0000, 0.0000, 19.9019]], "species": ["Li", "Li", "Li", "Li", "Cr", "Cr", "Cr", "Cr", "Cr", "Cr", "Cr", "Cr", "Cd", "Cd", "Cd", "Cd"], "fractional_positions": [[0.0000, 0.0000, 0.0000], [0.0000, 0.5000, 0.2500], [0.5000, 0.0000, 0.7500], [0.5000, 0.5000, 0.5000], [0.2131, 0.2500, 0.1250], [0.2500, 0.7131, 0.3750], [0.2500, 0.7869, 0.8750], [0.2869, 0.2500, 0.6250], [0.7131, 0.7500, 0.6250], [0.7500, 0.2131, 0.8750], [0.7500, 0.2869, 0.3750], [0.7869, 0.7500, 0.1250], [0.0000, 0.0000, 0.5000], [0.0000, 0.5000, 0.7500], [0.5000, 0.0000, 0.2500], [0.5000, 0.5000, 0.0000]]}

=====

No. 3
{"formula": "LiCrCd2", "functional": "PBE-GGA", "state": "relaxed", "space_group": "Cmmm", "lattice_angstrom": [[6.6315, 0.0000, 0.0000], [0.0000, 6.8840, 0.0000], [0.0000, 0.0000, 3.2018]], "species": ["Li", "Li", "Cr", "Cr", "Cd", "Cd", "Cd", "Cd"], "fractional_positions": [[0.0000, 0.0000, 0.0000], [0.5000, 0.5000, 0.0000], [0.0000, 0.5000, 0.0000], [0.5000, 0.0000, 0.0000], [0.2500, 0.2500, 0.5000], [0.2500, 0.7500, 0.5000], [0.7500, 0.2500, 0.5000], [0.7500, 0.7500, 0.5000]]}

=====

No. 4
{"formula": "LiCr2Cd", "functional": "PBE-GGA", "state": "relaxed", "space_group": "P4/mmm", "lattice_angstrom": [[3.3074, 0.0000, 0.0000], [0.0000, 3.3074, 0.0000], [0.0000, 0.0000, 6.4946]], "species": ["Li", "Cr", "Cr", "Cd"], "fractional_positions": [[0.0000, 0.0000, 0.0000], [0.5000, 0.5000, 0.2416], [0.5000, 0.5000, 0.7584], [0.0000, 0.0000, 0.5000]]}

=====

No. 5
{"formula": "LiCrCd", "functional": "PBE-GGA", "state": "relaxed", "e_above_lowest_polymorph_ev_per_fu": 0.01, "space_group": "I4mm", "lattice_angstrom": [[3.3212, 0.0000, 0.0000], [0.0000, 3.3212, 0.0000], [0.0000, 0.0000, 9.4550]], "species": ["Li", "Li", "Cr", "Cr", "Cd", "Cd"], "fractional_positions": [[0.0000, 0.0000, 0.0000], [0.5000, 0.5000, 0.5000], [0.0000, 0.0000, 0.3390], [0.5000, 0.5000, 0.8390], [0.0000, 0.0000, 0.6630], [0.5000, 0.5000, 0.1630]]}

=====

No. 6
{"formula": "LiCrCd", "functional": "PBE-GGA", "state": "relaxed", "e_above_lowest_polymorph_ev_per_fu": 0.59, "space_group": "Fmm2", "lattice_angstrom": [[3.1205, 0.0000, 0.0000], [0.0000, 4.3428, 0.0000], [0.0000, 0.0000, 14.1446]], "species": ["Li", "Li", "Li", "Li", "Cr", "Cr", "Cr", "Cr", "Cd", "Cd", "Cd", "Cd"], "fractional_positions": [[0.0000, 0.0000, 0.0000], [0.0000, 0.5000, 0.5000], [0.5000, 0.0000, 0.5000], [0.5000, 0.5000, 0.0000], [0.0000, 0.0000, 0.3432], [0.0000, 0.5000, 0.8432], [0.5000, 0.0000, 0.8432], [0.5000, 0.5000, 0.3432], [0.0000, 0.0000, 0.6747], [0.0000, 0.5000, 0.1747], [0.5000, 0.0000, 0.1747], [0.5000, 0.5000, 0.6747]]}

=====

No. 7
{"formula": "LiCr2Cd", "functional": "PBE-GGA", "state": "relaxed", "space_group": "Cmm2", "lattice_angstrom": [[2.9435, 0.0000, 0.0000], [0.0000, 4.5857, 0.0000], [0.0000, 0.0000, 8.9749]], "species": ["Li", "Li", "Cr", "Cr", "Cr", "Cr", "Cd", "Cd"], "fractional_positions": [[0.0000, 0.0000, 0.0000], [0.5000, 0.5000, 0.0000], [0.0000, 0.0000, 0.5629], [0.0000, 0.5000, 0.7455], [0.5000, 0.0000, 0.7455], [0.5000, 0.5000, 0.5629], [0.0000, 0.5000, 0.2814], [0.5000, 0.0000, 0.2814]]}

=====

No. 8
{"formula": "LiCr2Cd", "functional": "PBE-GGA", "state": "relaxed", "space_group": "P4mm", "lattice_angstrom": [[3.0477, 0.0000, 0.0000], [0.0000, 3.0477, 0.0000], [0.0000, 0.0000, 6.7185]], "species": ["Li", "Cr", "Cr", "Cd"], "fractional_positions": [[0.0000, 0.0000, 0.0000], [0.0000, 0.0000, 0.4302], [0.5000, 0.5000, 0.2681], [0.5000, 0.5000, 0.7321]]}

=====

| no. | total magnetization (μB per formula unit) | total DFT energy (no corrections) (eV/cell) | DFT formation energy (meV/atom) |
| --- | --- | --- | --- |
| 1 | 4.5 | -25.6 | 146 |
| 2 | 0.0 | -76.4 | 747 |
| 3 | 3.6 | -25.8 | 116 |
| 4 | 8.2 | -19.5 | 642 |
| 5 | 3.9 | -23.1 | 308 |
| 6 | 1.0 | -43.8 | 501 |
| 7 | 0.0 | -41.7 | 301 |
| 8 | 0.1 | -21.1 | 232 |